[1]
Here is a relaxed K2ErCrS4 crystal from Alexandria. Energies are from GGA-PBE.

Output
calculated density = 3.80 g/cm³
ΔE_f (raw) = -1356 meV/atom
total magnetic moment = 3.0 μB per formula unit
symmetry = No. 10

Cell: 6.6123 3.8558 7.6279 Å, 90.00 107.15 90.00°
Element x y z (fractional)
K1 0.0000 0.0000 0.0000
K2 0.5000 0.5000 0.0000
Er1 0.0000 0.5000 0.5000
Cr1 0.5000 0.0000 0.5000
S1 0.2536 0.0000 0.6956
S2 0.2948 0.5000 0.3170
S3 0.7052 0.5000 0.6830
S4 0.7464 0.0000 0.3044


[2]
Here is a relaxed Pr3TeC crystal from Alexandria. Energies are from GGA-PBE.

Output
calculated density = 6.90 g/cm³
E above lowest polymorph = 1.09 eV/f.u.
ΔE_f (raw) = -437 meV/atom
DOS(E_F) = 4.7 states/eV/cell
total magnetic moment = 0.0 μB per formula unit
symmetry = No. 221

Cell: 5.1353 5.1353 5.1353 Å, 90.00 90.00 90.00°
Element x y z (fractional)
Pr1 0.0000 0.0000 0.5000
Pr2 0.0000 0.5000 0.0000
Pr3 0.5000 0.0000 0.0000
Te1 0.5000 0.5000 0.5000
C1 0.0000 0.0000 0.0000


[3]
Here is a relaxed Sc3TiPt crystal from Alexandria. Energies are from GGA-PBE.

Output
calculated density = 5.80 g/cm³
E above lowest polymorph = 2.55 eV/f.u.
DOS(E_F) = 3.8 states/eV/cell
total magnetic moment = 0.0 μB per formula unit
E_form = 2.6 eV per formula unit
symmetry = No. 221

Cell: 4.7637 4.7637 4.7637 Å, 90.00 90.00 90.00°
Element x y z (fractional)
Sc1 0.0000 0.0000 0.5000
Sc2 0.0000 0.5000 0.0000
Sc3 0.5000 0.0000 0.0000
Ti1 0.0000 0.0000 0.0000
Pt1 0.5000 0.5000 0.5000


> What is the calculated density in the third record?

5.80 g/cm³


> Number 3 is which compound?

Sc3TiPt


> The highest total magnetic moment belongs to which entry?

K2ErCrS4